(1)
FeSi2Te | PBE | optimized geometry

Cell and atoms, written as POSCAR:
```
FeSi2Te
1.0
-2.757 0.151 -0.812
0.351 -2.348 -1.627
-2.175 -4.820 6.486
Fe Si Te
1 2 1
Cartesian
-2.834 -4.713 3.645
-1.977 -4.382 5.896
-1.285 -2.848 3.833
-1.747 -2.303 0.402
```

Results
ρ (g cm⁻³): 5.74
Size of the total moment (μB/f.u.): 0.3
D(E_F) (states/eV/f.u.): 3.07
Uncorrected formation energy (eV/atom): 0.230



(2)
Fe3SiTe | PBE | optimized geometry

Cell and atoms, written as POSCAR:
```
Fe3SiTe
1.0
4.327 0.000 0.000
0.000 4.327 0.000
0.000 0.000 4.327
Si Te Fe
1 1 3
Cartesian
0.000 0.000 0.000
2.164 2.164 2.164
0.000 2.164 0.000
0.000 0.000 2.164
2.164 0.000 0.000
```

Results
ρ (g cm⁻³): 6.62
Size of the total moment (μB/f.u.): 6.0
D(E_F) (states/eV/f.u.): 2.97
Energy above the lowest structure with this stoichiometry (meV per atom): 0
Uncorrected formation energy (eV/atom): 0.562



(3)
FeSiTe3 | PBE | optimized geometry

Cell and atoms, written as POSCAR:
```
FeSiTe3
1.0
-2.990 -4.022 0.730
0.834 0.285 4.987
-4.002 3.064 0.493
Si Te Fe
1 3 1
Cartesian
-3.079 -0.336 3.105
0.417 0.143 2.494
-2.001 1.532 0.247
-1.495 -2.011 0.365
0.000 0.000 0.000
```

Results
ρ (g cm⁻³): 5.97
Size of the total moment (μB/f.u.): 2.6
D(E_F) (states/eV/f.u.): 5.99
Uncorrected formation energy (eV/atom): 0.663



(4)
Fe4SiTe | PBE | optimized geometry

Cell and atoms, written as POSCAR:
```
Fe4SiTe
1.0
0.036 -2.031 4.507
-0.140 2.884 4.012
-4.068 0.136 2.806
Fe Si Te
4 1 1
Cartesian
-1.550 -0.636 6.494
-3.587 0.440 5.650
-1.638 1.803 6.248
-1.568 0.372 4.258
-3.129 0.742 8.494
0.000 0.000 0.000
```

Results
ρ (g cm⁻³): 7.37
Size of the total moment (μB/f.u.): 9.8
D(E_F) (states/eV/f.u.): 5.98
Uncorrected formation energy (eV/atom): 0.329



(5)
FeSi2Te | PBE | optimized geometry

Cell and atoms, written as POSCAR:
```
FeSi2Te
1.0
4.617 0.017 0.000
-1.423 4.393 0.000
0.000 0.000 3.412
Fe Si Te
1 2 1
Cartesian
-0.711 2.196 1.706
0.000 0.000 0.000
1.597 2.205 0.000
2.309 0.009 1.706
```

Results
ρ (g cm⁻³): 5.74
Size of the total moment (μB/f.u.): 2.5
D(E_F) (states/eV/f.u.): 2.90
Uncorrected formation energy (eV/atom): 0.662



(6)
Fe2Si4Te | PBE | optimized geometry

Cell and atoms, written as POSCAR:
```
Fe2Si4Te
1.0
-3.987 -2.960 -0.556
2.971 -3.714 -1.533
0.094 -5.230 4.709
Si Te Fe
4 1 2
Cartesian
-0.741 -7.539 0.539
-0.181 -4.365 2.080
1.485 -1.857 -0.767
-1.994 -1.480 -0.278
0.000 0.000 0.000
-0.523 -8.224 2.620
-0.399 -3.681 0.000
```

Results
ρ (g cm⁻³): 3.84
Size of the total moment (μB/f.u.): 3.8
D(E_F) (states/eV/f.u.): 6.27
Uncorrected formation energy (eV/atom): 1.132



(7)
Fe2SiTe | PBE | optimized geometry

Cell and atoms, written as POSCAR:
```
Fe2SiTe
1.0
3.048 0.000 0.000
0.000 3.047 0.000
0.000 0.000 6.320
Fe Si Te
2 1 1
Cartesian
0.000 0.000 0.377
0.000 0.000 2.783
1.524 1.523 1.580
1.524 1.523 4.740
```

Results
ρ (g cm⁻³): 7.57
Size of the total moment (μB/f.u.): 3.1
D(E_F) (states/eV/f.u.): 2.85
Energy above the lowest structure with this stoichiometry (meV per atom): 105
Uncorrected formation energy (eV/atom): 0.201



(8)
Fe2SiTe | PBE | optimized geometry

Cell and atoms, written as POSCAR:
```
Fe2SiTe
1.0
2.416 -2.911 1.932
-1.811 -3.328 1.920
0.388 -3.886 -1.671
Si Te Fe
1 1 2
Cartesian
0.000 0.000 0.000
0.496 -5.062 1.091
0.248 -2.531 0.545
0.744 -7.594 1.636
```

Results
ρ (g cm⁻³): 8.19
Size of the total moment (μB/f.u.): 1.8
D(E_F) (states/eV/f.u.): 2.13
Energy above the lowest structure with this stoichiometry (meV per atom): 174
Uncorrected formation energy (eV/atom): 0.271



Among the records above, which one has the lowest ρ? Fe2Si4Te



Look up the uncorrected formation energy of the sixth one. 1.132 eV/atom